Entry 1:
A plane-wave DFT calculation with PBE was carried out for an optimized crystal structure of ZrTaBe.

a = 3.1196 Å, b = 3.1196 Å, c = 6.2181 Å
α = 90.00°, β = 90.00°, γ = 120.00°
Atoms (fractional coordinates):
Ta 0.6667 0.3333 0.2939
Be 0.0000 0.0000 0.0097
Zr 0.3333 0.6667 0.6964

- Polymorph energy (0 for the lowest one): 355 meV per atom
- SG: P3m1 (156)

Entry 2:
A plane-wave DFT calculation with PBE was carried out for an optimized crystal structure of ZrTaBe2.

a = 3.6603 Å, b = 3.2704 Å, c = 5.1509 Å
α = 71.57°, β = 90.00°, γ = 90.00°
Atoms (fractional coordinates):
Zr 0.5000 0.7800 0.8127
Be 0.5000 0.0590 0.2587
Ta 0.0000 0.4784 0.4206
Be 0.0000 0.1826 0.0081

- Polymorph energy (0 for the lowest one): 0 meV per atom
- SG: Pm (6)

Entry 3:
A plane-wave DFT calculation with PBE was carried out for an optimized crystal structure of Zr2TaBe.

a = 3.5922 Å, b = 3.0888 Å, c = 7.3095 Å
α = 65.08°, β = 90.00°, γ = 90.00°
Atoms (fractional coordinates):
Be 0.5000 0.2500 0.2500
Zr 0.0000 0.9792 0.0207
Zr 0.0000 0.5208 0.4793
Ta 0.5000 0.7500 0.7500

- SG: P2/m (10)

Entry 4:
A plane-wave DFT calculation with PBE was carried out for an optimized crystal structure of ZrTaBe2.

a = 2.8293 Å, b = 2.8293 Å, c = 7.2733 Å
α = 90.00°, β = 90.00°, γ = 90.00°
Atoms (fractional coordinates):
Be 0.0000 0.0000 0.0625
Zr 0.5000 0.5000 0.7880
Ta 0.0000 0.0000 0.4478
Be 0.5000 0.5000 0.2017

- Polymorph energy (0 for the lowest one): 139 meV per atom
- SG: P4mm (99)

Entry 5:
A plane-wave DFT calculation with PBE was carried out for an optimized crystal structure of Zr2TaBe.

a = 5.1809 Å, b = 5.1809 Å, c = 5.1809 Å
α = 132.77°, β = 132.22°, γ = 69.44°
Atoms (fractional coordinates):
Ta 0.2500 0.7500 0.5000
Zr 0.5016 0.5016 0.0000
Be 0.7500 0.2500 0.5000
Zr 0.9984 0.9984 0.0000

- SG: Immm (71)

Entry 6:
A plane-wave DFT calculation with PBE was carried out for an optimized crystal structure of ZrTaBe2.

a = 6.6167 Å, b = 4.5425 Å, c = 2.8476 Å
α = 89.97°, β = 64.56°, γ = 126.42°
Atoms (fractional coordinates):
Be 0.0000 0.0000 0.0000
Be 0.5000 0.0000 0.5000
Ta 0.0000 0.5000 0.5000
Zr 0.5000 0.5000 0.0000

- Polymorph energy (0 for the lowest one): 71 meV per atom
- SG: Cmmm (65)

Entry 7:
A plane-wave DFT calculation with PBE was carried out for an optimized crystal structure of Zr2TaBe.

a = 8.9876 Å, b = 8.9876 Å, c = 8.9876 Å
α = 20.27°, β = 20.27°, γ = 20.27°
Atoms (fractional coordinates):
Zr 0.9910 0.9910 0.9910
Ta 0.7500 0.7500 0.7500
Be 0.2500 0.2500 0.2500
Zr 0.5090 0.5090 0.5090

- SG: R-3m (166)

Entry 8:
A plane-wave DFT calculation with PBE was carried out for an optimized crystal structure of Zr2TaBe.

a = 4.6729 Å, b = 3.1192 Å, c = 5.2480 Å
α = 83.15°, β = 90.00°, γ = 90.00°
Atoms (fractional coordinates):
Ta 0.5000 0.6114 0.7786
Zr 0.0000 0.0384 0.9330
Zr 0.5000 0.2090 0.3123
Be 0.0000 0.6411 0.4761

- SG: Pm (6)

Entry 9:
A plane-wave DFT calculation with PBE was carried out for an optimized crystal structure of Zr2TaBe6.

a = 3.1652 Å, b = 6.4954 Å, c = 6.4954 Å
α = 120.00°, β = 90.00°, γ = 90.00°
Atoms (fractional coordinates):
Zr 0.0000 0.6667 0.3333
Be 0.5000 0.6732 0.0000
Be 0.5000 0.3268 0.3268
Be 0.5000 0.0000 0.3268
Ta 0.0000 0.0000 0.0000
Be 0.5000 0.3268 0.0000
Zr 0.0000 0.3333 0.6667
Be 0.5000 0.6732 0.6732
Be 0.5000 0.0000 0.6732

- SG: P6/mmm (191)

Entry 10:
A plane-wave DFT calculation with PBE was carried out for an optimized crystal structure of ZrTa3Be.

a = 4.8768 Å, b = 4.8768 Å, c = 4.8768 Å
α = 90.00°, β = 90.00°, γ = 90.00°
Atoms (fractional coordinates):
Ta 0.0000 0.5000 0.0000
Ta 0.0000 0.0000 0.5000
Zr 0.0000 0.0000 0.0000
Ta 0.5000 0.0000 0.0000
Be 0.5000 0.5000 0.5000

- Polymorph energy (0 for the lowest one): 1796 meV per atom
- SG: Pm-3m (221)

Entry 11:
A plane-wave DFT calculation with PBE was carried out for an optimized crystal structure of Zr2TaBe.

a = 7.4703 Å, b = 7.4703 Å, c = 5.9399 Å
α = 51.04°, β = 51.04°, γ = 90.00°
Atoms (fractional coordinates):
Zr 0.5934 0.1250 0.2500
Be 0.2500 0.7500 0.5000
Zr 0.8750 0.8434 0.7500
Ta 0.0000 0.0000 0.0000
Zr 0.1566 0.6250 0.2500
Ta 0.7500 0.2500 0.5000
Be 0.5000 0.5000 0.0000
Zr 0.3750 0.4066 0.7500

- SG: I-42d (122)

Entry 12:
A plane-wave DFT calculation with PBE was carried out for an optimized crystal structure of Zr2TaBe.

a = 5.2571 Å, b = 5.2571 Å, c = 5.2571 Å
α = 133.90°, β = 133.90°, γ = 67.25°
Atoms (fractional coordinates):
Zr 0.0000 0.0000 0.0000
Zr 0.2500 0.7500 0.5000
Be 0.5000 0.5000 0.0000
Ta 0.7500 0.2500 0.5000

- SG: I-4m2 (119)

| no. | E_tot (eV per atom) |
| --- | --- |
| 1 | -7.73 |
| 2 | -7.02 |
| 3 | -8.11 |
| 4 | -6.88 |
| 5 | -7.99 |
| 6 | -6.95 |
| 7 | -7.91 |
| 8 | -7.99 |
| 9 | -5.87 |
| 10 | -7.29 |
| 11 | -7.69 |
| 12 | -8.02 |